(1)
Entry from Alexandria: a relaxed MgNbCuRu crystal (PBE-GGA).

The calculation puts the raw total energy at -101.12 eV for the cell shown.

The structure belongs to space group F-43m (No. 216); the cell edges are 6.278, 6.278 and 6.278 Å and the angles 90.00°, 90.00° and 90.00°. The distinct sites, in fractional coordinates, are Mg at (0.000, 0.000, 0.000), Nb at (0.000, 0.000, 0.500), Cu at (0.250, 0.250, 0.750) and Ru at (0.250, 0.250, 0.250).

***

(2)
Entry from Alexandria: a relaxed LiY2BeO crystal (PBE-GGA).

The energy relative to the elements, uncorrected is -1.095 eV/atom. The calculation puts the raw total energy at -29.00 eV for the cell shown.

The structure belongs to space group P4/mmm (No. 123); the cell edges are 4.766, 4.766 and 3.822 Å and the angles 90.00°, 90.00° and 90.00°. The distinct sites, in fractional coordinates, are Li at (0.000, 0.000, 0.000), Y at (0.000, 0.500, 0.500), Be at (0.500, 0.500, 0.000) and O at (0.000, 0.000, 0.500).

***

Please write out number 1 again, unchanged.
Entry from Alexandria: a relaxed MgNbCuRu crystal (PBE-GGA).

The calculation puts the raw total energy at -101.12 eV for the cell shown.

The structure belongs to space group F-43m (No. 216); the cell edges are 6.278, 6.278 and 6.278 Å and the angles 90.00°, 90.00° and 90.00°. The distinct sites, in fractional coordinates, are Mg at (0.000, 0.000, 0.000), Nb at (0.000, 0.000, 0.500), Cu at (0.250, 0.250, 0.750) and Ru at (0.250, 0.250, 0.250).